Below is NiHgC3 after structural relaxation, with properties calculated at the PBE level.

Its spin magnetization is 0.000 μB per formula unit. Its energy of formation is 2407 meV/atom. The value obtained for the density of states at the Fermi level is 1.2 states/eV/f.u. As for the polymorph energy (0 for the lowest one): 0.000 eV per atom.

a b c (Å): 3.895 3.895 3.895
angles (deg): 90.00 90.00 90.00
Positions (direct):
C: 0.000 0.500 0.000
C: 0.500 0.000 0.000
C: 0.000 0.000 0.500
Hg: 0.500 0.500 0.500
Ni: 0.000 0.000 0.000

Below is TlAsSN2 after structural relaxation, with properties calculated at the PBE level.

Its spin magnetization is 0.615 μB per formula unit. The value obtained for the density of states at the Fermi level is 1.3 states/eV/f.u. As for the polymorph energy (0 for the lowest one): 0.000 eV per atom.

a b c (Å): 3.816 3.816 5.550
angles (deg): 90.00 90.00 90.00
Positions (direct):
Tl: 0.500 0.500 0.500
S: 0.000 0.000 0.500
N: 0.000 0.500 0.000
N: 0.500 0.000 0.000
As: 0.000 0.000 0.000

Below is ScBe2Au after structural relaxation, with properties calculated at the PBE level.

Its spin magnetization is 0.000 μB per formula unit. Its energy of formation is -299 meV/atom. The value obtained for the density of states at the Fermi level is 1.3 states/eV/f.u. As for the polymorph energy (0 for the lowest one): 0.000 eV per atom.

a b c (Å): 4.232 4.232 4.232
angles (deg): 60.00 60.00 60.00
Positions (direct):
Be: 0.750 0.750 0.750
Be: 0.250 0.250 0.250
Au: 0.500 0.500 0.500
Sc: 0.000 0.000 0.000

Below is La6TbNd12 after structural relaxation, with properties calculated at the PBE level.

Its spin magnetization is 0.001 μB per formula unit. Its energy of formation is 273 meV/atom. The value obtained for the density of states at the Fermi level is 31.9 states/eV/f.u. As for the polymorph energy (0 for the lowest one): 0.159 eV per atom.

a b c (Å): 10.079 10.079 10.079
angles (deg): 112.25 112.25 112.25
Positions (direct):
Nd: 0.878 0.122 0.500
Nd: 0.909 0.270 0.270
Nd: 0.270 0.270 0.909
Nd: 0.270 0.909 0.270
Nd: 0.122 0.878 0.500
Nd: 0.500 0.878 0.122
Nd: 0.730 0.091 0.730
Nd: 0.091 0.730 0.730
Nd: 0.122 0.500 0.878
Nd: 0.500 0.122 0.878
Nd: 0.730 0.730 0.091
Nd: 0.878 0.500 0.122
Tb: 0.000 0.000 0.000
La: 0.266 0.521 0.266
La: 0.734 0.479 0.734
La: 0.479 0.734 0.734
La: 0.266 0.266 0.521
La: 0.734 0.734 0.479
La: 0.521 0.266 0.266

Below is SrSn3Hg3 after structural relaxation, with properties calculated at the PBE level.

Its spin magnetization is 0.000 μB per formula unit. Its energy of formation is 71 meV/atom. The value obtained for the density of states at the Fermi level is 5.6 states/eV/f.u. As for the polymorph energy (0 for the lowest one): 0.259 eV per atom.

a b c (Å): 7.941 7.941 7.941
angles (deg): 90.00 90.00 90.00
Positions (direct):
Hg: 0.250 0.500 0.000
Hg: 0.500 0.000 0.250
Hg: 0.500 0.000 0.750
Hg: 0.750 0.500 0.000
Hg: 0.000 0.250 0.500
Hg: 0.000 0.750 0.500
Sn: 0.000 0.500 0.250
Sn: 0.000 0.500 0.750
Sn: 0.500 0.750 0.000
Sn: 0.750 0.000 0.500
Sn: 0.500 0.250 0.000
Sn: 0.250 0.000 0.500
Sr: 0.500 0.500 0.500
Sr: 0.000 0.000 0.000

Below is Na3B4C2 after structural relaxation, with properties calculated at the PBE level.

Its spin magnetization is 0.116 μB per formula unit. Its energy of formation is 99 meV/atom. The value obtained for the density of states at the Fermi level is 2.0 states/eV/f.u. As for the polymorph energy (0 for the lowest one): 0.001 eV per atom.

a b c (Å): 7.798 7.798 10.004
angles (deg): 120.14 120.14 20.71
Positions (direct):
Na: 0.332 0.332 0.000
Na: 0.500 0.500 0.500
Na: 0.668 0.668 0.000
Na: 0.167 0.167 0.502
Na: 0.833 0.833 0.498
Na: 0.000 0.000 0.000
B: 0.804 0.804 0.749
B: 0.196 0.196 0.251
B: 0.966 0.966 0.249
B: 0.147 0.147 0.751
B: 0.034 0.034 0.751
B: 0.541 0.541 0.250
B: 0.853 0.853 0.249
B: 0.459 0.459 0.750
C: 0.700 0.700 0.750
C: 0.300 0.300 0.250
C: 0.643 0.643 0.252
C: 0.357 0.357 0.748

Below is NiHgPb2 after structural relaxation, with properties calculated at the PBE level.

Its spin magnetization is 0.000 μB per formula unit. Its energy of formation is 328 meV/atom. The value obtained for the density of states at the Fermi level is 2.6 states/eV/f.u.

a b c (Å): 5.083 8.044 3.702
angles (deg): 63.42 89.42 128.93
Positions (direct):
Pb: 0.000 0.500 0.500
Pb: 0.000 0.000 0.000
Hg: 0.500 0.500 0.000
Ni: 0.500 0.000 0.500

Below is MgPBr2 after structural relaxation, with properties calculated at the PBE level.

Its spin magnetization is 1.229 μB per formula unit. The value obtained for the density of states at the Fermi level is 1.1 states/eV/f.u. As for the polymorph energy (0 for the lowest one): 0.254 eV per atom.

a b c (Å): 12.328 12.328 12.328
angles (deg): 16.90 16.90 16.90
Positions (direct):
Br: 0.877 0.877 0.877
Br: 0.123 0.123 0.123
Mg: 0.500 0.500 0.500
P: 0.000 0.000 0.000

Below is Pm5Cd2Rh4 after structural relaxation, with properties calculated at the PBE level.

Its spin magnetization is 0.000 μB per formula unit. Its energy of formation is -348 meV/atom. The value obtained for the density of states at the Fermi level is 7.2 states/eV/f.u.

a b c (Å): 3.904 7.139 10.861
angles (deg): 107.88 100.35 90.00
Positions (direct):
Pm: 0.873 0.632 0.745
Pm: 0.127 0.368 0.255
Pm: 0.140 0.879 0.280
Pm: 0.500 0.000 0.000
Pm: 0.860 0.121 0.720
Cd: 0.729 0.692 0.457
Cd: 0.271 0.308 0.543
Rh: 0.995 0.306 0.990
Rh: 0.005 0.694 0.010
Rh: 0.420 0.422 0.841
Rh: 0.580 0.578 0.159

Below is AcSm2Tl3 after structural relaxation, with properties calculated at the PBE level.

Its spin magnetization is 0.000 μB per formula unit. Its energy of formation is -366 meV/atom. The value obtained for the density of states at the Fermi level is 4.8 states/eV/f.u.

a b c (Å): 3.918 3.918 12.058
angles (deg): 90.00 90.00 90.00
Positions (direct):
Ac: 0.500 0.500 0.500
Sm: 0.500 0.500 0.842
Sm: 0.500 0.500 0.158
Tl: 0.000 0.000 0.687
Tl: 0.000 0.000 0.000
Tl: 0.000 0.000 0.313

Below is InAg3Bi3 after structural relaxation, with properties calculated at the PBE level.

Its spin magnetization is 0.000 μB per formula unit. Its energy of formation is 419 meV/atom. The value obtained for the density of states at the Fermi level is 4.4 states/eV/f.u.

a b c (Å): 7.916 7.916 7.916
angles (deg): 90.00 90.00 90.00
Positions (direct):
Bi: 0.250 0.500 0.000
Bi: 0.000 0.750 0.500
Bi: 0.750 0.500 0.000
Bi: 0.500 0.000 0.250
Bi: 0.000 0.250 0.500
Bi: 0.500 0.000 0.750
In: 0.500 0.500 0.500
In: 0.000 0.000 0.000
Ag: 0.250 0.000 0.500
Ag: 0.000 0.500 0.250
Ag: 0.000 0.500 0.750
Ag: 0.500 0.250 0.000
Ag: 0.500 0.750 0.000
Ag: 0.750 0.000 0.500

Below is Ca2GaCo after structural relaxation, with properties calculated at the PBE level.

Its spin magnetization is 0.000 μB per formula unit. Its energy of formation is 18 meV/atom. The value obtained for the density of states at the Fermi level is 2.6 states/eV/f.u.

a b c (Å): 10.086 10.086 7.492
angles (deg): 47.69 47.69 90.00
Positions (direct):
Co: 0.500 0.500 0.000
Co: 0.250 0.750 0.500
Ca: 0.375 0.547 0.750
Ca: 0.297 0.625 0.250
Ca: 0.453 0.125 0.250
Ca: 0.875 0.703 0.750
Ga: 0.000 0.000 0.000
Ga: 0.750 0.250 0.500

Total DFT energy (no corrections) (computed, eV per atom): -4.344; -4.454; -4.564; -4.538; -2.014; -5.358; -3.047; -2.871; -5.347; -3.807; -2.858; -3.516